Record 1
Ce2Zn4Ru at its PBEsol-relaxed geometry, computed with SCAN.

Lattice parameters (Å, degrees): 7.037 7.037 5.115 90.00 90.00 90.00
Element x y z (fractional)
Ce 0.250 0.250 0.219
Ce 0.250 0.750 0.000
Ce 0.750 0.250 0.000
Ce 0.750 0.750 0.781
Zn 0.066 0.066 0.708
Zn 0.066 0.434 0.708
Zn 0.434 0.066 0.708
Zn 0.434 0.434 0.708
Zn 0.566 0.566 0.292
Zn 0.566 0.934 0.292
Zn 0.934 0.566 0.292
Zn 0.934 0.934 0.292
Ru 0.250 0.750 0.500
Ru 0.750 0.250 0.500

Values from the calculation:
space group	P4/nmm
DFT formation energy	-0.423	eV per atom
DOS(E_F)	12.9	states/eV per cell



Record 2
Cs3PtAu at its PBEsol-relaxed geometry, computed with SCAN.

Lattice parameters (Å, degrees): 6.368 6.368 6.368 90.00 90.00 90.00
Element x y z (fractional)
Cs 0.000 0.000 0.500
Cs 0.000 0.500 0.000
Cs 0.500 0.000 0.000
Pt 0.000 0.000 0.000
Au 0.500 0.500 0.500

Values from the calculation:
space group	Pm-3m
DFT formation energy	-0.092	eV per atom



Record 3
YMgCl3 at its PBEsol-relaxed geometry, computed with SCAN.

Lattice parameters (Å, degrees): 4.851 4.851 4.851 90.00 90.00 90.00
Element x y z (fractional)
Y 0.000 0.000 0.000
Mg 0.500 0.500 0.500
Cl 0.000 0.500 0.500
Cl 0.500 0.000 0.500
Cl 0.500 0.500 0.000

Values from the calculation:
space group	Pm-3m
ΔE_f (raw)	-1264	meV/atom
DOS(E_F)	2.8	states/eV per cell



Record 4
LaY at its PBEsol-relaxed geometry, computed with SCAN.

Lattice parameters (Å, degrees): 4.483 4.483 4.483 60.00 60.00 60.00
Element x y z (fractional)
La 0.000 0.000 0.000
Y 0.250 0.250 0.250

Values from the calculation:
space group	F-43m
DFT formation energy	1.600	eV per atom
DOS(E_F)	1.7	states/eV per cell



Record 5
Zn8Mo at its PBEsol-relaxed geometry, computed with SCAN.

Lattice parameters (Å, degrees): 6.062 6.062 6.062 95.49 95.49 143.95
Element x y z (fractional)
Zn 0.000 0.336 0.336
Zn 0.000 0.664 0.664
Zn 0.329 0.329 0.659
Zn 0.329 0.671 0.000
Zn 0.336 0.000 0.336
Zn 0.664 0.000 0.664
Zn 0.671 0.329 0.000
Zn 0.671 0.671 0.341
Mo 0.000 0.000 0.000

Values from the calculation:
space group	I4/mmm
DFT formation energy	0.060	eV per atom
DOS(E_F)	2.9	states/eV per cell



Record 6
InP2Br at its PBEsol-relaxed geometry, computed with SCAN.

Lattice parameters (Å, degrees): 3.769 3.769 8.777 90.00 90.00 126.93
Element x y z (fractional)
In 0.000 0.000 0.000
P 0.000 0.000 0.421
P 0.500 0.500 0.268
Br 0.500 0.500 0.757

Values from the calculation:
space group	Cmm2
ΔE_f (raw)	116	meV/atom
DOS(E_F)	1.5	states/eV per cell



Record 7
Co2HN at its PBEsol-relaxed geometry, computed with SCAN.

Lattice parameters (Å, degrees): 4.843 4.843 4.843 130.56 130.56 72.51
Element x y z (fractional)
Co 0.114 0.625 0.989
Co 0.375 0.364 0.489
Co 0.636 0.125 0.011
Co 0.875 0.886 0.511
H 0.000 0.000 0.000
H 0.750 0.250 0.500
N 0.250 0.750 0.500
N 0.500 0.500 0.000

Values from the calculation:
space group	I-42d
total energy	-93.59	eV per cell
DOS(E_F)	3.3	states/eV per cell



Record 8
BaCuSi2 at its PBEsol-relaxed geometry, computed with SCAN.

Lattice parameters (Å, degrees): 4.611 3.909 5.335 90.00 96.89 90.00
Element x y z (fractional)
Ba 0.000 0.000 0.000
Cu 0.831 0.500 0.510
Si 0.333 0.500 0.602
Si 0.548 0.000 0.432

Values from the calculation:
space group	Pm
ΔE_f (raw)	-124	meV/atom
DOS(E_F)	1.1	states/eV per cell



Record 9
CdPtAu2 at its PBEsol-relaxed geometry, computed with SCAN.

Lattice parameters (Å, degrees): 4.960 4.960 4.960 131.43 131.43 71.13
Element x y z (fractional)
Cd 0.000 0.000 0.000
Pt 0.250 0.750 0.500
Au 0.500 0.500 0.000
Au 0.750 0.250 0.500

Values from the calculation:
space group	I-4m2
DFT formation energy	-0.178	eV per atom
DOS(E_F)	0.9	states/eV per cell



Record 10
CuHgRh2 at its PBEsol-relaxed geometry, computed with SCAN.

Lattice parameters (Å, degrees): 4.701 4.701 4.701 130.78 130.78 72.17
Element x y z (fractional)
Cu 0.000 0.000 0.000
Hg 0.750 0.250 0.500
Rh 0.250 0.750 0.500
Rh 0.500 0.500 0.000

Values from the calculation:
space group	I-4m2
DFT formation energy	0.189	eV per atom
DOS(E_F)	3.0	states/eV per cell



Record 11
ZrIr2Os at its PBEsol-relaxed geometry, computed with SCAN.

Lattice parameters (Å, degrees): 3.334 3.334 5.722 90.00 90.00 90.00
Element x y z (fractional)
Zr 0.000 0.000 0.000
Ir 0.000 0.000 0.508
Ir 0.500 0.500 0.248
Os 0.500 0.500 0.711

Values from the calculation:
space group	P4mm
DFT formation energy	-0.162	eV per atom
DOS(E_F)	3.3	states/eV per cell



Record 12
Fe2HgIr at its PBEsol-relaxed geometry, computed with SCAN.

Lattice parameters (Å, degrees): 2.938 2.938 6.545 90.00 90.00 90.00
Element x y z (fractional)
Fe 0.000 0.000 0.000
Fe 0.500 0.500 0.195
Hg 0.000 0.000 0.472
Ir 0.500 0.500 0.780

Values from the calculation:
space group	P4mm
DFT formation energy	0.142	eV per atom
DOS(E_F)	2.7	states/eV per cell